# 1
This record from Alexandria describes a relaxed structure of NaAc5Hg6. The functional is GGA-PBE.

a = 5.6647 Å, b = 8.0370 Å, c = 8.9421 Å
α = 90.00°, β = 108.40°, γ = 90.00°
With the nearest neighbours (Å) after each atom.
Atoms (fractional coordinates):
Na (0.0000, 0.0000, 0.0000)  8 Hg 3.44-3.50
Ac (0.0000, 0.5000, 0.0000)  8 Hg 3.44-3.49
Ac (0.3311, 0.5000, 0.6621)  8 Hg 3.47-3.50
Ac (0.3412, 0.0000, 0.6824)  8 Hg 3.39-3.55
Ac (0.6588, 0.0000, 0.3176)  8 Hg 3.39-3.55
Ac (0.6689, 0.5000, 0.3379)  8 Hg 3.47-3.50
Hg (0.1666, 0.2442, 0.3331)  1 Na 3.44, 7 Ac 3.45-3.55
Hg (0.1666, 0.7558, 0.3331)  1 Na 3.44, 7 Ac 3.45-3.55
Hg (0.5000, 0.2565, 0.0000)  6 Ac 3.39-3.47, 2 Na 3.50
Hg (0.5000, 0.7435, 0.0000)  6 Ac 3.39-3.47, 2 Na 3.50
Hg (0.8334, 0.2442, 0.6669)  1 Na 3.44, 7 Ac 3.45-3.55
Hg (0.8334, 0.7558, 0.6669)  1 Na 3.44, 7 Ac 3.45-3.55

## Properties
size of the total moment	0.33	μB/f.u.
DOS(E_F)	9.7	states/eV/cell
volume	386.30	Å³/cell
E_form	-448	meV per atom

# 2
This record from Alexandria describes a relaxed structure of TmTl2AsSe4. The functional is GGA-PBE.

a = 8.5382 Å, b = 8.5382 Å, c = 8.5382 Å
α = 120.61°, β = 119.53°, γ = 89.88°
With the nearest neighbours (Å) after each atom.
Atoms (fractional coordinates):
Tm (0.5000, 0.0000, 0.0000)  6 Se 2.86-2.88
Tm (0.5000, 0.5000, 0.5000)  6 Se 2.86-2.88
Tl (0.0000, 0.0000, 0.0000)  6 Se 3.23-3.26
Tl (0.0000, 0.0000, 0.5000)  6 Se 3.20
Tl (0.0000, 0.5000, 0.0000)  6 Se 3.20
Tl (0.5000, 0.0000, 0.5000)  6 Se 3.23-3.26
As (0.0000, 0.5000, 0.5000)  6 Se 2.80-2.82
As (0.5000, 0.5000, 0.0000)  6 Se 2.80-2.82
Se (0.2592, 0.7310, 0.5282)  1 As 2.80, 2 Tm 2.86
Se (0.2632, 0.2978, 0.5345)  2 As 2.82, 1 Tm 2.88
Se (0.2632, 0.7287, 0.9655)  2 As 2.82, 1 Tm 2.88
Se (0.2973, 0.2690, 0.0282)  1 As 2.80, 2 Tm 2.86
Se (0.7027, 0.7310, 0.9718)  1 As 2.80, 2 Tm 2.86
Se (0.7368, 0.2713, 0.0345)  2 As 2.82, 1 Tm 2.88
Se (0.7368, 0.7022, 0.4655)  2 As 2.82, 1 Tm 2.88
Se (0.7408, 0.2690, 0.4718)  1 As 2.80, 2 Tm 2.86

## Properties
size of the total moment	0.00	μB/f.u.
DOS(E_F)	0.7	states/eV/cell
volume	439.63	Å³/cell
E_tot	-4.214	eV/atom

# 3
This record from Alexandria describes a relaxed structure of Sr2TcTe. The functional is GGA-PBE.

a = 6.5888 Å, b = 6.5888 Å, c = 6.5888 Å
α = 138.78°, β = 138.78°, γ = 59.72°
With the nearest neighbours (Å) after each atom.
Atoms (fractional coordinates):
Sr (0.0000, 0.0000, 0.0000)  4 Te 3.28
Sr (0.7500, 0.2500, 0.5000)  4 Tc 3.28
Tc (0.2500, 0.7500, 0.5000)  4 Sr 3.28
Te (0.5000, 0.5000, 0.0000)  4 Sr 3.28

## Properties
size of the total moment	2.86	μB/f.u.
DOS(E_F)	3.8	states/eV/cell
volume	122.97	Å³/cell
E_tot	-4.070	eV/atom

Question: Which of these has the highest size of the total moment?
Answer: Sr2TcTe